First-principles (PBE-GGA) data for a relaxed structure of BaTlAg2Cl8, as listed in the Alexandria database.

Output
E_tot in eV per atom: -2.98

```
12
Lattice="-3.4587 3.4587 7.2568 3.4587 -3.4587 7.2568 3.4587 3.4587 -7.2568" Properties=species:S:1:pos:R:3 pbc="T T T"
Ba 0.0000 0.0000 0.0000
Tl 0.0000 3.4587 3.6284
Ag 3.4587 0.0000 3.6284
Ag 0.0000 0.0000 7.2568
Cl 2.1177 -2.0874 4.4741
Cl 2.4420 1.4596 -1.0073
Cl 1.3712 1.3410 2.7827
Cl 1.9991 -1.0167 8.2642
Cl 1.3410 5.5461 -2.7827
Cl 1.4596 4.4753 1.0073
Cl 1.0167 1.9991 6.2495
Cl 2.0874 2.1177 10.0396
```



First-principles (PBE-GGA) data for a relaxed structure of BaTl2Ag2Cl7, as listed in the Alexandria database.

Output
E_tot in eV per atom: -3.22

```
12
Lattice="3.7113 -3.6282 0.0000 3.7113 3.6282 0.0000 -3.4900 0.0000 13.1217" Properties=species:S:1:pos:R:3 pbc="T T T"
Ba 0.0000 0.0000 0.0000
Tl 0.4289 0.0000 4.8307
Tl 3.5037 0.0000 8.2910
Ag 0.2147 0.0000 10.4972
Ag 3.7179 0.0000 2.6245
Cl 1.8520 1.8131 2.2521
Cl 0.3968 0.0000 7.8839
Cl 2.0806 1.8131 10.8695
Cl 3.7113 0.0000 0.0000
Cl 1.8520 -1.8131 2.2521
Cl 3.5358 0.0000 5.2377
Cl 2.0806 -1.8131 10.8695
```



First-principles (PBE-GGA) data for a relaxed structure of BaTmAg2Cl8, as listed in the Alexandria database.

Output
E_tot in eV per atom: -3.68

```
12
Lattice="6.6831 0.0000 0.0000 -3.3415 5.7877 0.0000 0.0000 0.0000 8.8159" Properties=species:S:1:pos:R:3 pbc="T T T"
Ba 0.0000 0.0000 0.0000
Tm 0.0000 0.0000 4.4080
Ag 0.0000 3.8585 6.2425
Ag 3.3416 1.9292 2.5735
Cl -2.1148 4.1759 2.7776
Cl 0.7825 1.8683 2.7776
Cl 2.0092 0.2565 6.0383
Cl 0.0000 3.8585 8.7202
Cl 3.3416 1.9292 0.0957
Cl 1.3323 5.5312 2.7776
Cl 2.5591 3.9195 6.0383
Cl 5.4564 1.6118 6.0383
```



First-principles (PBE-GGA) data for a relaxed structure of BaYAgCl6, as listed in the Alexandria database.

Output
E_tot in eV per atom: -4.42

```
18
Lattice="7.0255 0.0000 0.0000 -3.5128 6.0843 0.0000 0.0000 0.0000 13.4681" Properties=species:S:1:pos:R:3 pbc="T T T"
Ba 0.0000 0.0000 0.0000
Ba 0.0000 0.0000 6.7341
Y 0.0000 4.0562 3.3670
Y 3.5128 2.0281 10.1011
Ag 0.0000 4.0562 10.1011
Ag 3.5128 2.0281 3.3670
Cl -1.1807 2.2306 1.8299
Cl -2.1713 3.9464 4.9041
Cl 1.1807 2.2306 4.9041
Cl -0.9906 5.9915 1.8299
Cl 2.5221 0.0928 8.5640
Cl 1.3414 2.1378 11.6382
Cl 2.1713 3.9464 1.8299
Cl 0.9906 5.9915 4.9041
Cl 4.5034 0.0928 11.6382
Cl 2.3321 3.8536 8.5640
Cl 5.6841 2.1378 8.5640
Cl 4.6935 3.8536 11.6382
```



First-principles (PBE-GGA) data for a relaxed structure of BaZrAg2Cl8, as listed in the Alexandria database.

Output
E_tot in eV per atom: -4.08

```
12
Lattice="6.5551 0.0000 0.0000 1.0678 7.0072 0.0000 0.1134 2.8083 8.3723" Properties=species:S:1:pos:R:3 pbc="T T T"
Ba 0.0000 0.0000 0.0000
Zr 0.0567 1.4041 4.1862
Ag 3.6366 3.0300 1.7181
Ag 4.0997 6.7855 6.6542
Cl 0.9203 2.3411 1.9916
Cl 1.1836 3.2125 5.4595
Cl 3.1303 6.9584 4.3362
Cl 3.5843 5.3237 0.4609
Cl 4.1519 4.4918 7.9115
Cl 4.6060 2.8570 4.0362
Cl 6.5527 6.6029 2.9128
Cl 6.8160 7.4743 6.3807
```



First-principles (PBE-GGA) data for a relaxed structure of BaCoAg2, as listed in the Alexandria database.

Output
Energy of formation from the pure elements in eV per atom: 0.52
ΔE to the lowest computed polymorph in eV/atom: 0.338

```
4
Lattice="0.0000 3.6914 3.6914 3.6914 0.0000 3.6914 3.6914 3.6914 0.0000" Properties=species:S:1:pos:R:3 pbc="T T T"
Ba 0.0000 0.0000 0.0000
Co 3.6914 3.6914 3.6914
Ag 1.8457 1.8457 1.8457
Ag 5.5371 5.5371 5.5371
```



First-principles (PBE-GGA) data for a relaxed structure of BaCoAg2, as listed in the Alexandria database.

Output
Energy of formation from the pure elements in eV per atom: 0.39
ΔE to the lowest computed polymorph in eV/atom: 0.202

```
4
Lattice="-1.6632 2.5519 5.2613 1.6632 -2.5519 5.2613 1.6632 2.5519 -5.2613" Properties=species:S:1:pos:R:3 pbc="T T T"
Ba 0.0000 0.0000 0.0000
Co 0.0000 0.0000 5.2613
Ag 1.6632 0.0000 3.0854
Ag 0.0000 2.5519 2.1759
```



First-principles (PBE-GGA) data for a relaxed structure of BaCoAg2, as listed in the Alexandria database.

Output
Energy of formation from the pure elements in eV per atom: 0.58
ΔE to the lowest computed polymorph in eV/atom: 0.399

```
4
Lattice="2.9159 -5.4109 0.0000 2.9159 5.4109 0.0000 -1.8936 0.0000 2.8843" Properties=species:S:1:pos:R:3 pbc="T T T"
Ba 0.0000 0.0000 0.0000
Co 2.9159 0.0000 0.0000
Ag 0.5111 2.7055 1.4421
Ag 0.5111 -2.7055 1.4421
```



First-principles (PBE-GGA) data for a relaxed structure of BaCoAg2, as listed in the Alexandria database.

Output
Energy of formation from the pure elements in eV per atom: 0.53
ΔE to the lowest computed polymorph in eV/atom: 0.342

```
4
Lattice="4.2788 0.0000 0.0000 0.0000 4.2788 0.0000 0.0000 0.0000 4.9197" Properties=species:S:1:pos:R:3 pbc="T T T"
Ba 0.0000 0.0000 0.0000
Co 2.1394 2.1394 0.0000
Ag 0.0000 2.1394 2.4599
Ag 2.1394 0.0000 2.4599
```



First-principles (PBE-GGA) data for a relaxed structure of BaCoAg, as listed in the Alexandria database.

Output
Energy of formation from the pure elements in eV per atom: 0.57

```
3
Lattice="0.0000 3.4887 3.4887 3.4887 0.0000 3.4887 3.4887 3.4887 0.0000" Properties=species:S:1:pos:R:3 pbc="T T T"
Ba 0.0000 0.0000 0.0000
Co 1.7443 1.7443 1.7443
Ag 3.4887 3.4887 3.4887
```



First-principles (PBE-GGA) data for a relaxed structure of BaCoAg2, as listed in the Alexandria database.

Output
Energy of formation from the pure elements in eV per atom: 0.38
ΔE to the lowest computed polymorph in eV/atom: 0.199

```
4
Lattice="3.4976 0.0000 0.0000 0.0000 3.5123 0.0000 0.0000 0.0000 7.4089" Properties=species:S:1:pos:R:3 pbc="T T T"
Ba 0.0000 0.0000 0.0000
Co 1.7488 1.7562 5.1410
Ag 0.0000 0.0000 3.9965
Ag 1.7488 1.7562 2.4561
```



First-principles (PBE-GGA) data for a relaxed structure of BaCoAg2, as listed in the Alexandria database.

Output
Energy of formation from the pure elements in eV per atom: 0.34
ΔE to the lowest computed polymorph in eV/atom: 0.161

```
4
Lattice="4.9308 0.0000 0.0000 0.0000 4.4358 0.0000 -1.8285 0.0000 4.6217" Properties=species:S:1:pos:R:3 pbc="T T T"
Ba 0.0000 0.0000 0.0000
Co 1.5512 0.0000 2.3109
Ag 0.3942 2.2179 3.1001
Ag 2.7082 2.2179 1.5216
```